No. 1
The following is a PBE calculation of Ho4TlSe after structural relaxation, from Alexandria via LeMat-Bulk.

The uncorrected formation energy is -0.54 eV/atom. For the density of states at the Fermi level, the calculation gives 0.715 states/eV/atom. The final energy comes out at -4.5652 eV/atom. Its crystal system is orthorhombic.

The structure belongs to space group Cmcm (No. 63); the cell edges are 5.476, 20.141 and 6.239 Å and the angles 90.00°, 90.00° and 90.00°. The inequivalent atoms are Ho at (0.000, 0.060, 0.250), Ho at (0.000, 0.212, 0.004), Ho at (0.000, 0.379, 0.250), Tl at (0.000, 0.358, 0.750) and Se at (0.000, 0.079, 0.750).


No. 2
The following is a PBE calculation of Ho3TlSe4 after structural relaxation, from Alexandria via LeMat-Bulk.

The uncorrected formation energy is -1.55 eV/atom. For the density of states at the Fermi level, the calculation gives 0.478 states/eV/atom. The final energy comes out at -5.3014 eV/atom. Its crystal system is hexagonal.

The structure belongs to space group P6_3/mmc (No. 194); the cell edges are 4.0970, 4.0970 and 28.9522 Å and the angles 90.00°, 90.00° and 120.00°. The inequivalent atoms are Ho at (0.0000, 0.0000, 0.0000), Ho at (0.3333, 0.6667, 0.1136), Tl at (0.3333, 0.6667, 0.7500), Se at (0.0000, 0.0000, 0.1688) and Se at (0.3333, 0.6667, 0.5568).


No. 3
The following is a PBE calculation of Ho6TlSe3 after structural relaxation, from Alexandria via LeMat-Bulk.

The uncorrected formation energy is -1.04 eV/atom. For the density of states at the Fermi level, the calculation gives 0.702 states/eV/atom. The final energy comes out at -5.0693 eV/atom. Its crystal system is monoclinic.

The structure belongs to space group P2_1/m (No. 11); the cell edges are 11.866, 3.908 and 12.050 Å and the angles 90.00°, 107.35° and 90.00°. The inequivalent atoms are Ho at (0.001, 0.250, 0.355), Ho at (0.118, 0.250, 0.926), Ho at (0.224, 0.750, 0.265), Ho at (0.297, 0.750, 0.747), Ho at (0.365, 0.250, 0.526), Ho at (0.419, 0.750, 0.093), Tl at (0.450, 0.250, 0.305), Se at (0.063, 0.250, 0.144), Se at (0.166, 0.750, 0.493) and Se at (0.353, 0.250, 0.922).


No. 4
The following is a PBE calculation of Ho6TlSe4 after structural relaxation, from Alexandria via LeMat-Bulk.

The uncorrected formation energy is -1.34 eV/atom. For the density of states at the Fermi level, the calculation gives 0.731 states/eV/atom. The final energy comes out at -5.3160 eV/atom. Its crystal system is orthorhombic.

The structure belongs to space group Cmcm (No. 63); the cell edges are 4.017, 13.507 and 20.693 Å and the angles 90.00°, 90.00° and 90.00°. The inequivalent atoms are Ho at (0.000, 0.000, 0.000), Ho at (0.000, 0.153, 0.250), Ho at (0.000, 0.271, 0.587), Ho at (0.000, 0.453, 0.164), Tl at (0.000, 0.172, 0.750), Se at (0.000, 0.089, 0.122) and Se at (0.000, 0.361, 0.039).


No. 5
The following is a PBE calculation of Ho7TlSe5 after structural relaxation, from Alexandria via LeMat-Bulk.

The uncorrected formation energy is -1.40 eV/atom. For the density of states at the Fermi level, the calculation gives 0.578 states/eV/atom. The final energy comes out at -5.3882 eV/atom. Its crystal system is orthorhombic.

The structure belongs to space group Cmcm (No. 63); the cell edges are 4.039, 13.422 and 24.162 Å and the angles 90.00°, 90.00° and 90.00°. The inequivalent atoms are Ho at (0.000, 0.017, 0.250), Ho at (0.000, 0.139, 0.535), Ho at (0.000, 0.318, 0.177), Ho at (0.000, 0.405, 0.615), Tl at (0.000, 0.308, 0.750), Se at (0.000, 0.048, 0.640), Se at (0.000, 0.225, 0.072) and Se at (0.000, 0.500, 0.000).


No. 6
The following is a PBE calculation of Ho3TlSe after structural relaxation, from Alexandria via LeMat-Bulk.

The uncorrected formation energy is -0.71 eV/atom. For the density of states at the Fermi level, the calculation gives 0.787 states/eV/atom. The final energy comes out at -4.6263 eV/atom. Its crystal system is monoclinic.

The structure belongs to space group P2_1/c (No. 14); the cell edges are 9.193, 6.616 and 10.240 Å and the angles 90.00°, 113.67° and 90.00°. The inequivalent atoms are Ho at (0.063, 0.090, 0.335), Ho at (0.212, 0.581, 0.538), Ho at (0.388, 0.136, 0.806), Tl at (0.382, 0.665, 0.874) and Se at (0.086, 0.232, 0.596).


No. 7
The following is a PBE calculation of HoTlSe2 after structural relaxation, from Alexandria via LeMat-Bulk.

The uncorrected formation energy is -1.38 eV/atom. The final energy comes out at -4.8621 eV/atom. Its crystal system is trigonal.

The structure belongs to space group R-3m (No. 166, hexagonal axes); the cell edges are 4.1706, 4.1706 and 23.3286 Å and the angles 90.00°, 90.00° and 120.00°. The inequivalent atoms are Ho at (0.0000, 0.0000, 0.0000), Tl at (0.0000, 0.0000, 0.5000) and Se at (0.0000, 0.0000, 0.2657).


No. 8
The following is a PBE calculation of Ho2TlSe after structural relaxation, from Alexandria via LeMat-Bulk.

The uncorrected formation energy is -0.85 eV/atom. For the density of states at the Fermi level, the calculation gives 0.762 states/eV/atom. The final energy comes out at -4.5993 eV/atom. Its crystal system is tetragonal.

The structure belongs to space group P4/mmm (No. 123); the cell edges are 3.502, 3.502 and 8.032 Å and the angles 90.00°, 90.00° and 90.00°. The inequivalent atoms are Ho at (0.000, 0.000, 0.227), Tl at (0.500, 0.500, 0.500) and Se at (0.500, 0.500, 0.000).


No. 9
The following is a PBE calculation of Ho3TlSe6 after structural relaxation, from Alexandria via LeMat-Bulk.

The uncorrected formation energy is -1.41 eV/atom. The final energy comes out at -5.1136 eV/atom. Its crystal system is orthorhombic.

The structure belongs to space group Cmc2_1 (No. 36); the cell edges are 11.188, 14.012 and 6.924 Å and the angles 90.00°, 90.00° and 90.00°. The inequivalent atoms are Ho at (0.000, 0.092, 0.000), Ho at (0.186, 0.403, 0.901), Tl at (0.000, 0.296, 0.384), Se at (0.000, 0.277, 0.764), Se at (0.000, 0.471, 0.197), Se at (0.163, 0.035, 0.704) and Se at (0.177, 0.225, 0.159).


No. 10
The following is a PBE calculation of HoTlSe2 after structural relaxation, from Alexandria via LeMat-Bulk.

The uncorrected formation energy is -1.37 eV/atom. The final energy comes out at -4.8464 eV/atom. Its crystal system is trigonal.

The structure belongs to space group R3m (No. 160, hexagonal axes); the cell edges are 4.1528, 4.1528 and 23.6671 Å and the angles 90.00°, 90.00° and 120.00°. The inequivalent atoms are Ho at (0.0000, 0.0000, 0.0000), Tl at (0.0000, 0.0000, 0.1689), Se at (0.0000, 0.0000, 0.4004) and Se at (0.0000, 0.0000, 0.5994).


No. 11
The following is a PBE calculation of Ho2TlSe after structural relaxation, from Alexandria via LeMat-Bulk.

The uncorrected formation energy is -0.99 eV/atom. For the density of states at the Fermi level, the calculation gives 0.671 states/eV/atom. The final energy comes out at -4.7389 eV/atom. Its crystal system is trigonal.

The structure belongs to space group R3m (No. 160, hexagonal axes); the cell edges are 3.8682, 3.8682 and 24.6842 Å and the angles 90.00°, 90.00° and 120.00°. The inequivalent atoms are Ho at (0.0000, 0.0000, 0.0000), Ho at (0.0000, 0.0000, 0.1917), Tl at (0.0000, 0.0000, 0.7627) and Se at (0.0000, 0.0000, 0.5949).


No. 12
The following is a PBE calculation of Ho5Tl2Se2 after structural relaxation, from Alexandria via LeMat-Bulk.

The uncorrected formation energy is -0.80 eV/atom. For the density of states at the Fermi level, the calculation gives 0.735 states/eV/atom. The final energy comes out at -4.6398 eV/atom. Its crystal system is orthorhombic.

The structure belongs to space group Cmce (No. 64); the cell edges are 14.859, 7.980 and 7.963 Å and the angles 90.00°, 90.00° and 90.00°. The inequivalent atoms are Ho at (0.000, 0.000, 0.000), Ho at (0.128, 0.166, 0.336), Tl at (0.209, 0.000, 0.000) and Se at (0.000, 0.141, 0.645).


No. 13
The following is a PBE calculation of HoTm2Tl3Se6 after structural relaxation, from Alexandria via LeMat-Bulk.

The uncorrected formation energy is -1.38 eV/atom. The final energy comes out at -4.8384 eV/atom. Its crystal system is monoclinic.

The structure belongs to space group C2/m (No. 12); the cell edges are 7.182, 12.439 and 8.140 Å and the angles 90.00°, 107.10° and 90.00°. The inequivalent atoms are Ho at (0.000, 0.000, 0.000), Tm at (0.000, 0.333, 0.000), Tl at (0.000, 0.166, 0.500), Tl at (0.000, 0.500, 0.500), Se at (0.232, 0.500, 0.202) and Se at (0.235, 0.168, 0.202).


No. 14
The following is a PBE calculation of Ho2TmTl3Se6 after structural relaxation, from Alexandria via LeMat-Bulk.

The uncorrected formation energy is -1.38 eV/atom. The final energy comes out at -4.8505 eV/atom. Its crystal system is monoclinic.

The structure belongs to space group C2/m (No. 12); the cell edges are 7.201, 12.473 and 8.140 Å and the angles 90.00°, 107.15° and 90.00°. The inequivalent atoms are Ho at (0.000, 0.167, 0.000), Tm at (0.000, 0.500, 0.000), Tl at (0.000, 0.000, 0.500), Tl at (0.000, 0.333, 0.500), Se at (0.233, 0.334, 0.202) and Se at (0.236, 0.000, 0.203).


No. 15
The following is a PBE calculation of HoTmTlSe after structural relaxation, from Alexandria via LeMat-Bulk.

The uncorrected formation energy is -0.95 eV/atom. For the density of states at the Fermi level, the calculation gives 0.605 states/eV/atom. The final energy comes out at -4.6753 eV/atom. Its crystal system is trigonal.

The structure belongs to space group P3m1 (No. 156); the cell edges are 3.7935, 3.7935 and 8.3892 Å and the angles 90.00°, 90.00° and 120.00°. The inequivalent atoms are Ho at (0.0000, 0.0000, 0.0000), Tm at (0.6667, 0.3333, 0.4336), Tl at (0.3333, 0.6667, 0.7149) and Se at (0.3333, 0.6667, 0.2188).


No. 16
The following is a PBE calculation of Ho3UTl4Se8 after structural relaxation, from Alexandria via LeMat-Bulk.

The uncorrected formation energy is -1.24 eV/atom. For the density of states at the Fermi level, the calculation gives 0.577 states/eV/atom. The final energy comes out at -5.1411 eV/atom. Its crystal system is trigonal.

The structure belongs to space group R-3m (No. 166, hexagonal axes); the cell edges are 8.3508, 8.3508 and 23.3932 Å and the angles 90.00°, 90.00° and 120.00°. The inequivalent atoms are Ho at (0.0000, 0.5000, 0.0000), U at (0.0000, 0.0000, 0.0000), Tl at (0.0000, 0.0000, 0.5000), Tl at (0.0000, 0.5000, 0.5000), Se at (0.0000, 0.0000, 0.2660) and Se at (0.0025, 0.5013, 0.2653).


No. 17
The following is a PBE calculation of HoU2Tl3Se6 after structural relaxation, from Alexandria via LeMat-Bulk.

The uncorrected formation energy is -1.03 eV/atom. For the density of states at the Fermi level, the calculation gives 0.705 states/eV/atom. The final energy comes out at -5.6304 eV/atom. Its crystal system is monoclinic.

The structure belongs to space group C2/m (No. 12); the cell edges are 7.230, 12.521 and 8.213 Å and the angles 90.00°, 107.06° and 90.00°. The inequivalent atoms are Ho at (0.000, 0.000, 0.000), U at (0.000, 0.333, 0.000), Tl at (0.000, 0.168, 0.500), Tl at (0.000, 0.500, 0.500), Se at (0.234, 0.166, 0.204) and Se at (0.237, 0.500, 0.205).


No. 18
The following is a PBE calculation of Ho3UTl3Se8 after structural relaxation, from Alexandria via LeMat-Bulk.

The uncorrected formation energy is -1.33 eV/atom. For the density of states at the Fermi level, the calculation gives 0.397 states/eV/atom. The final energy comes out at -5.3338 eV/atom. Its crystal system is trigonal.

The structure belongs to space group R-3m (No. 166, hexagonal axes); the cell edges are 8.2904, 8.2904 and 23.5076 Å and the angles 90.00°, 90.00° and 120.00°. The inequivalent atoms are Ho at (0.0000, 0.5000, 0.0000), U at (0.0000, 0.0000, 0.0000), Tl at (0.0000, 0.5000, 0.5000), Se at (0.0000, 0.0000, 0.2658) and Se at (0.0022, 0.5011, 0.7335).


No. 19
The following is a PBE calculation of Ho2UTl3Se6 after structural relaxation, from Alexandria via LeMat-Bulk.

The uncorrected formation energy is -1.20 eV/atom. For the density of states at the Fermi level, the calculation gives 0.706 states/eV/atom. The final energy comes out at -5.2325 eV/atom. Its crystal system is monoclinic.

The structure belongs to space group C2/m (No. 12); the cell edges are 7.253, 12.546 and 8.168 Å and the angles 90.00°, 107.16° and 90.00°. The inequivalent atoms are Ho at (0.000, 0.167, 0.000), U at (0.000, 0.500, 0.000), Tl at (0.000, 0.000, 0.500), Tl at (0.000, 0.334, 0.500), Se at (0.231, 0.000, 0.203) and Se at (0.236, 0.332, 0.204).